(w)
First-principles (PBE) data for an optimized crystal structure of ZrBe2Fe, as listed in Alexandria.

Cell and atoms, written as extended XYZ:
```
8
Lattice="6.296 0.000 0.000 0.000 3.638 0.000 -2.108 0.000 4.422" Properties=species:S:1:pos:R:3 pbc="T T T"
Zr 0.000 0.000 0.000
Zr 3.148 1.819 0.000
Be -0.005 0.000 2.684
Be 1.045 1.819 1.737
Be 3.143 1.819 2.684
Be 4.193 0.000 1.737
Fe -1.054 1.819 2.211
Fe 2.094 0.000 2.211
```

Its magnetic moment is 0.00 Bohr magnetons per cell.

***

(x)
First-principles (PBE) data for an optimized crystal structure of ZrBe2Fe, as listed in Alexandria.

Cell and atoms, written as extended XYZ:
```
8
Lattice="3.330 0.000 0.000 0.000 4.152 0.000 0.000 0.000 7.271" Properties=species:S:1:pos:R:3 pbc="T T T"
Zr 0.000 0.000 0.000
Zr 1.665 2.076 3.636
Be 0.000 0.000 3.351
Be 0.000 2.076 5.650
Be 1.665 0.000 2.014
Be 1.665 2.076 6.987
Fe 0.000 2.076 1.625
Fe 1.665 0.000 5.260
```

Its magnetic moment is 0.66 Bohr magnetons per cell.

***

(y)
First-principles (PBE) data for an optimized crystal structure of ZrBe2Fe, as listed in Alexandria.

Cell and atoms, written as extended XYZ:
```
8
Lattice="3.418 0.000 0.000 0.000 3.019 0.000 0.000 0.000 9.538" Properties=species:S:1:pos:R:3 pbc="T T T"
Zr 0.000 0.000 0.000
Zr 0.000 1.510 4.769
Be 0.000 0.000 7.032
Be 0.000 1.510 2.263
Be 1.709 0.000 5.995
Be 1.709 1.510 1.226
Fe 1.709 0.000 2.953
Fe 1.709 1.510 7.722
```

Its magnetic moment is 0.75 Bohr magnetons per cell.

***

(z)
First-principles (PBE) data for an optimized crystal structure of ZrBe2Fe, as listed in Alexandria.

Cell and atoms, written as extended XYZ:
```
8
Lattice="6.331 0.000 0.000 0.000 3.661 0.000 -2.115 0.000 4.405" Properties=species:S:1:pos:R:3 pbc="T T T"
Zr 0.000 0.000 0.000
Zr 3.166 1.830 0.000
Be -1.056 1.830 2.229
Be -0.001 0.000 2.599
Be 2.110 0.000 2.229
Be 3.165 1.830 2.599
Fe 1.056 1.830 1.663
Fe 4.222 0.000 1.663
```

Its magnetic moment is 0.00 Bohr magnetons per cell.

***

Short version: (w) is the most stable of them.

***

(w)
First-principles (PBE) data for an optimized crystal structure of ZrBe2Fe, as listed in Alexandria.

Cell and atoms, written as extended XYZ:
```
16
Lattice="5.857 0.000 0.000 0.000 5.857 0.000 0.000 0.000 5.857" Properties=species:S:1:pos:R:3 pbc="T T T"
Zr 0.000 0.000 0.000
Zr 0.000 2.929 2.929
Zr 2.929 0.000 2.929
Zr 2.929 2.929 0.000
Be 0.000 0.000 2.929
Be 0.000 2.929 0.000
Be 1.464 1.464 4.393
Be 1.464 4.393 1.464
Be 2.929 0.000 0.000
Be 2.929 2.929 2.929
Be 4.393 1.464 1.464
Be 4.393 4.393 4.393
Fe 1.464 1.464 1.464
Fe 1.464 4.393 4.393
Fe 4.393 1.464 4.393
Fe 4.393 4.393 1.464
```

Its magnetic moment is 0.00 Bohr magnetons per cell.

***

(x)
First-principles (PBE) data for an optimized crystal structure of ZrBe2Fe, as listed in Alexandria.

Cell and atoms, written as extended XYZ:
```
12
Lattice="2.719 0.000 0.000 -1.359 2.354 0.000 0.000 0.000 24.892" Properties=species:S:1:pos:R:3 pbc="T T T"
Zr 0.000 0.000 0.000
Zr 0.000 1.570 16.595
Zr 1.359 0.785 8.297
Be 0.000 0.000 5.893
Be 0.000 0.000 18.999
Be 0.000 1.570 10.702
Be 0.000 1.570 22.488
Be 1.359 0.785 2.404
Be 1.359 0.785 14.190
Fe 0.000 0.000 12.446
Fe 0.000 1.570 4.149
Fe 1.359 0.785 20.743
```

Its magnetic moment is 5.12 Bohr magnetons per cell.

***

Short version: (w) is the most stable of them.

***

(w)
First-principles (PBE) data for an optimized crystal structure of ZrBe2Fe, as listed in Alexandria.

Cell and atoms, written as extended XYZ:
```
4
Lattice="3.579 0.000 0.000 0.000 3.579 0.000 0.000 0.000 3.994" Properties=species:S:1:pos:R:3 pbc="T T T"
Zr 0.000 0.000 0.000
Be 0.000 1.790 1.997
Be 1.790 0.000 1.997
Fe 1.790 1.790 0.000
```

Its magnetic moment is 0.00 Bohr magnetons per cell.

***

(x)
First-principles (PBE) data for an optimized crystal structure of ZrBe2Fe, as listed in Alexandria.

Cell and atoms, written as extended XYZ:
```
4
Lattice="2.869 0.000 0.000 0.000 2.869 0.000 0.000 0.000 6.132" Properties=species:S:1:pos:R:3 pbc="T T T"
Zr 0.000 0.000 0.000
Be 0.000 0.000 3.266
Be 1.434 1.434 2.132
Fe 1.434 1.434 4.364
```

Its magnetic moment is 0.39 Bohr magnetons per cell.

***

Short version: (x) is the most stable of them.

***

(w)
First-principles (PBE) data for an optimized crystal structure of ZrBeFe, as listed in Alexandria.

Cell and atoms, written as extended XYZ:
```
3
Lattice="3.836 0.000 0.000 -1.918 3.322 0.000 0.000 0.000 3.282" Properties=species:S:1:pos:R:3 pbc="T T T"
Zr 0.000 0.000 0.000
Be 1.918 1.107 1.641
Fe 0.000 2.215 1.641
```

Its magnetic moment is 0.00 Bohr magnetons per cell.

***

(x)
First-principles (PBE) data for an optimized crystal structure of ZrBeFe, as listed in Alexandria.

Cell and atoms, written as extended XYZ:
```
6
Lattice="3.040 0.000 0.000 0.000 3.040 0.000 0.000 0.000 8.782" Properties=species:S:1:pos:R:3 pbc="T T T"
Zr 0.000 0.000 0.000
Zr 1.520 1.520 4.391
Be 0.000 0.000 2.636
Be 1.520 1.520 7.027
Fe 0.000 0.000 6.199
Fe 1.520 1.520 1.808
```

Its magnetic moment is 0.00 Bohr magnetons per cell.

***

(y)
First-principles (PBE) data for an optimized crystal structure of ZrBeFe, as listed in Alexandria.

Cell and atoms, written as extended XYZ:
```
12
Lattice="2.589 0.000 0.000 0.000 13.875 0.000 0.000 0.000 4.900" Properties=species:S:1:pos:R:3 pbc="T T T"
Zr 0.000 2.349 1.225
Zr 0.000 11.526 3.675
Zr 1.295 4.589 3.675
Zr 1.295 9.287 1.225
Be 0.000 5.061 1.225
Be 0.000 8.815 3.675
Be 1.295 1.877 3.675
Be 1.295 11.998 1.225
Fe 0.000 6.938 0.000
Fe 0.000 6.938 2.450
Fe 1.295 0.000 0.000
Fe 1.295 0.000 2.450
```

Its magnetic moment is 7.64 Bohr magnetons per cell.

***

Short version: (w) is the most stable of them.

***

(w)
First-principles (PBE) data for an optimized crystal structure of ZrBeFe, as listed in Alexandria.

Cell and atoms, written as extended XYZ:
```
12
Lattice="5.594 0.000 0.000 0.000 5.594 0.000 0.000 0.000 5.594" Properties=species:S:1:pos:R:3 pbc="T T T"
Zr 0.000 0.000 0.000
Zr 0.000 2.797 2.797
Zr 2.797 0.000 2.797
Zr 2.797 2.797 0.000
Be 1.398 1.398 4.195
Be 1.398 4.195 1.398
Be 4.195 1.398 1.398
Be 4.195 4.195 4.195
Fe 0.000 0.000 2.797
Fe 0.000 2.797 0.000
Fe 2.797 0.000 0.000
Fe 2.797 2.797 2.797
```

Its magnetic moment is 0.00 Bohr magnetons per cell.

***

(x)
First-principles (PBE) data for an optimized crystal structure of ZrBeFe, as listed in Alexandria.

Cell and atoms, written as extended XYZ:
```
12
Lattice="5.886 0.000 0.000 0.000 5.886 0.000 0.000 0.000 5.886" Properties=species:S:1:pos:R:3 pbc="T T T"
Zr 0.000 0.000 0.000
Zr 0.000 2.943 2.943
Zr 2.943 0.000 2.943
Zr 2.943 2.943 0.000
Be 1.471 1.471 1.471
Be 1.471 4.414 4.414
Be 4.414 1.471 4.414
Be 4.414 4.414 1.471
Fe 1.471 1.471 4.414
Fe 1.471 4.414 1.471
Fe 4.414 1.471 1.471
Fe 4.414 4.414 4.414
```

Its magnetic moment is 0.00 Bohr magnetons per cell.

***

Short version: (w) is the most stable of them.

***

(w)
First-principles (PBE) data for an optimized crystal structure of ZrBeFe3, as listed in Alexandria.

Cell and atoms, written as extended XYZ:
```
5
Lattice="3.999 0.000 0.000 0.000 3.999 0.000 0.000 0.000 3.999" Properties=species:S:1:pos:R:3 pbc="T T T"
Zr 0.000 0.000 0.000
Be 1.999 1.999 1.999
Fe 0.000 1.999 1.999
Fe 1.999 0.000 1.999
Fe 1.999 1.999 0.000
```

Its magnetic moment is 3.98 Bohr magnetons per cell.

***

(x)
First-principles (PBE) data for an optimized crystal structure of ZrBeFe3, as listed in Alexandria.

Cell and atoms, written as extended XYZ:
```
5
Lattice="4.545 0.000 0.000 0.000 4.545 0.000 0.000 0.000 4.545" Properties=species:S:1:pos:R:3 pbc="T T T"
Zr 0.000 0.000 0.000
Be 2.272 2.272 2.272
Fe 0.000 0.000 2.272
Fe 0.000 2.272 0.000
Fe 2.272 0.000 0.000
```

Its magnetic moment is 5.51 Bohr magnetons per cell.

***

Short version: (w) is the most stable of them.

***

(w)
First-principles (PBE) data for an optimized crystal structure of BeGaGe, as listed in Alexandria.

Cell and atoms, written as extended XYZ:
```
12
Lattice="7.427 0.000 0.000 0.000 3.841 0.000 -0.783 0.000 6.872" Properties=species:S:1:pos:R:3 pbc="T T T"
Be 0.000 0.000 0.000
Be 0.894 0.000 2.049
Be 3.713 1.921 0.000
Be 4.608 1.921 2.049
Ga 0.387 0.000 4.393
Ga 3.126 0.000 2.674
Ga 4.100 1.921 4.393
Ga 6.840 1.921 2.674
Ge 1.482 1.921 0.783
Ge 2.668 0.000 5.501
Ge 5.195 0.000 0.783
Ge 6.382 1.921 5.501
```

Its magnetic moment is 0.00 Bohr magnetons per cell.

***

(x)
First-principles (PBE) data for an optimized crystal structure of BeGaGe, as listed in Alexandria.

Cell and atoms, written as extended XYZ:
```
6
Lattice="1.864 1.076 8.088 -1.864 1.076 8.088 0.000 -2.152 8.088" Properties=species:S:1:pos:R:3 pbc="T T T"
Be 0.000 0.000 0.000
Be 0.000 0.000 7.253
Ga 0.000 0.000 4.679
Ga 0.000 0.000 19.114
Ge 0.000 0.000 9.493
Ge 0.000 0.000 14.544
```

Its magnetic moment is 0.00 Bohr magnetons per cell.

***

Short version: (w) is the most stable of them.

***

(w)
First-principles (PBE) data for an optimized crystal structure of BeGaGe, as listed in Alexandria.

Cell and atoms, written as extended XYZ:
```
6
Lattice="4.213 0.000 0.000 0.360 4.251 0.000 0.861 1.402 5.543" Properties=species:S:1:pos:R:3 pbc="T T T"
Be 0.000 0.000 0.000
Be 2.372 4.326 4.204
Ga 2.310 3.788 1.263
Ga 3.848 1.327 1.953
Ge 1.633 2.178 3.267
Ge 4.400 3.620 4.956
```

Its magnetic moment is 0.00 Bohr magnetons per cell.

***

(x)
First-principles (PBE) data for an optimized crystal structure of BeGaGe, as listed in Alexandria.

Cell and atoms, written as extended XYZ:
```
12
Lattice="7.348 0.000 0.000 0.000 3.833 0.000 -1.204 0.000 6.924" Properties=species:S:1:pos:R:3 pbc="T T T"
Be 0.000 0.000 0.000
Be -0.175 0.000 4.825
Be 3.674 1.917 0.000
Be 3.499 1.917 4.825
Ga 0.893 1.917 3.674
Ga 3.131 1.917 2.343
Ga 4.567 0.000 3.674
Ga 6.805 0.000 2.343
Ge 2.175 0.000 0.842
Ge 2.160 0.000 5.467
Ge 5.849 1.917 0.842
Ge 5.834 1.917 5.467
```

Its magnetic moment is 0.00 Bohr magnetons per cell.

***

(y)
First-principles (PBE) data for an optimized crystal structure of BeGaGe, as listed in Alexandria.

Cell and atoms, written as extended XYZ:
```
12
Lattice="5.721 0.000 0.000 0.000 5.721 0.000 0.000 0.000 5.721" Properties=species:S:1:pos:R:3 pbc="T T T"
Be 0.000 0.000 0.000
Be 0.000 2.861 2.861
Be 2.861 0.000 2.861
Be 2.861 2.861 0.000
Ga 1.430 1.430 4.291
Ga 1.430 4.291 1.430
Ga 4.291 1.430 1.430
Ga 4.291 4.291 4.291
Ge 1.430 1.430 1.430
Ge 1.430 4.291 4.291
Ge 4.291 1.430 4.291
Ge 4.291 4.291 1.430
```

Its magnetic moment is 0.00 Bohr magnetons per cell.

***

(z)
First-principles (PBE) data for an optimized crystal structure of BeGaGe, as listed in Alexandria.

Cell and atoms, written as extended XYZ:
```
6
Lattice="3.729 0.000 0.000 -1.865 3.230 0.000 0.000 0.000 8.318" Properties=species:S:1:pos:R:3 pbc="T T T"
Be 0.000 0.000 0.000
Be 0.000 2.153 0.715
Ga 0.000 0.000 5.588
Ga 0.000 2.153 3.760
Ge 0.000 0.000 2.234
Ge 1.865 1.077 7.536
```

Its magnetic moment is 0.00 Bohr magnetons per cell.

***

Short version: (y) is the most stable of them.

***

(w)
First-principles (PBE) data for an optimized crystal structure of BeGaGe, as listed in Alexandria.

Cell and atoms, written as extended XYZ:
```
12
Lattice="7.098 0.000 0.000 0.000 3.786 0.000 -1.349 0.000 7.530" Properties=species:S:1:pos:R:3 pbc="T T T"
Be 0.000 0.000 0.000
Be 0.024 1.893 1.403
Be 3.549 1.893 0.000
Be 3.573 0.000 1.403
Ga -0.782 0.000 5.140
Ga 0.626 1.893 3.734
Ga 2.767 1.893 5.140
Ga 4.174 0.000 3.734
Ge 0.003 1.893 6.928
Ge 1.369 0.000 1.937
Ge 3.552 0.000 6.928
Ge 4.918 1.893 1.937
```

Its magnetic moment is 0.00 Bohr magnetons per cell.

***

(x)
First-principles (PBE) data for an optimized crystal structure of BeGaGe, as listed in Alexandria.

Cell and atoms, written as extended XYZ:
```
6
Lattice="3.746 0.000 0.000 0.007 4.978 0.000 1.869 1.749 4.985" Properties=species:S:1:pos:R:3 pbc="T T T"
Be 0.939 1.981 0.375
Be 4.683 4.746 4.610
Ga 0.944 4.478 0.932
Ga 4.678 2.249 4.053
Ge 2.809 4.583 3.074
Ge 2.813 2.144 1.912
```

Its magnetic moment is 0.00 Bohr magnetons per cell.

***

Short version: (w) is the most stable of them.

***

(w)
First-principles (PBE) data for an optimized crystal structure of BeGaGe, as listed in Alexandria.

Cell and atoms, written as extended XYZ:
```
12
Lattice="7.253 0.000 0.000 0.000 3.946 0.000 -0.668 0.000 6.816" Properties=species:S:1:pos:R:3 pbc="T T T"
Be 0.000 0.000 0.000
Be 0.926 0.000 2.066
Be 3.626 1.973 0.000
Be 4.552 1.973 2.066
Ga 0.214 0.000 4.419
Ga 2.418 0.000 5.554
Ga 3.840 1.973 4.419
Ga 6.044 1.973 5.554
Ge 1.329 1.973 0.688
Ge 3.125 0.000 2.819
Ge 4.956 0.000 0.688
Ge 6.751 1.973 2.819
```

Its magnetic moment is 0.00 Bohr magnetons per cell.

***

(x)
First-principles (PBE) data for an optimized crystal structure of BeGaGe, as listed in Alexandria.

Cell and atoms, written as extended XYZ:
```
6
Lattice="4.000 0.000 0.000 0.471 4.341 0.000 1.020 1.343 5.724" Properties=species:S:1:pos:R:3 pbc="T T T"
Be 0.000 0.000 0.000
Be 1.988 3.414 5.276
Ga 0.832 2.952 1.780
Ga 2.822 5.145 3.772
Ge 2.057 0.605 1.203
Ge 4.038 2.743 4.144
```

Its magnetic moment is 0.00 Bohr magnetons per cell.

***

Short version: (w) is the most stable of them.

***

(w)
First-principles (PBE) data for an optimized crystal structure of BeGa2H, as listed in Alexandria.

Cell and atoms, written as extended XYZ:
```
16
Lattice="4.504 0.000 0.000 0.000 4.504 0.000 0.000 0.000 11.232" Properties=species:S:1:pos:R:3 pbc="T T T"
Be 0.000 0.000 0.000
Be 0.000 2.252 2.808
Be 2.252 0.000 8.424
Be 2.252 2.252 5.616
Ga 0.774 1.126 7.020
Ga 1.126 3.026 9.828
Ga 1.126 3.730 4.212
Ga 1.478 1.126 1.404
Ga 3.026 3.378 1.404
Ga 3.378 0.774 4.212
Ga 3.378 1.478 9.828
Ga 3.730 3.378 7.020
H 0.000 0.000 5.616
H 0.000 2.252 8.424
H 2.252 0.000 2.808
H 2.252 2.252 0.000
```

Its magnetic moment is 0.00 Bohr magnetons per cell.

***

(x)
First-principles (PBE) data for an optimized crystal structure of BeGa2H, as listed in Alexandria.

Cell and atoms, written as extended XYZ:
```
16
Lattice="5.784 0.000 0.000 0.000 5.784 0.000 0.000 0.000 5.784" Properties=species:S:1:pos:R:3 pbc="T T T"
Be 0.000 0.000 0.000
Be 0.000 2.892 2.892
Be 2.892 0.000 2.892
Be 2.892 2.892 0.000
Ga 1.446 1.446 1.446
Ga 1.446 1.446 4.338
Ga 1.446 4.338 1.446
Ga 1.446 4.338 4.338
Ga 4.338 1.446 1.446
Ga 4.338 1.446 4.338
Ga 4.338 4.338 1.446
Ga 4.338 4.338 4.338
H 0.000 0.000 2.892
H 0.000 2.892 0.000
H 2.892 0.000 0.000
H 2.892 2.892 2.892
```

Its magnetic moment is 0.00 Bohr magnetons per cell.

***

Short version: (w) is the most stable of them.